This record from the Alexandria database describes Mg4Co5 after structural relaxation. The functional is GGA-PBE.

Unit cell a=6.568 b=6.568 c=6.568 alpha=93.25 beta=93.25 gamma=152.46
Element x y z (fractional)
Mg 0.692 0.000 0.692
Mg 0.308 0.000 0.308
Mg 0.000 0.308 0.308
Mg 0.000 0.692 0.692
Co 0.000 0.000 0.000
Co 0.671 0.329 0.000
Co 0.329 0.671 0.000
Co 0.329 0.329 0.658
Co 0.671 0.671 0.342

total energy = -4.44 eV/atom
V = 14.14 Å³/atom
offset from the most stable computed form = 0 meV per atom


This record from the Alexandria database describes Er12Hf5Sn3 after structural relaxation. The functional is GGA-PBE.

Unit cell a=15.247 b=15.247 c=15.247 alpha=109.47 beta=109.47 gamma=109.47
Element x y z (fractional)
Sn 0.750 0.375 0.125
Sn 0.875 0.750 0.125
Sn 0.375 0.750 0.625
Sn 0.250 0.125 0.375
Sn 0.875 0.125 0.250
Sn 0.375 0.625 0.250
Sn 0.625 0.375 0.750
Sn 0.125 0.875 0.750
Sn 0.750 0.875 0.625
Sn 0.625 0.250 0.375
Sn 0.125 0.250 0.875
Sn 0.250 0.625 0.875
Hf 0.125 0.375 0.250
Hf 0.000 0.500 0.000
Hf 0.000 0.000 0.000
Hf 0.375 0.250 0.125
Hf 0.500 0.000 0.500
Hf 0.500 0.500 0.000
Hf 0.125 0.750 0.375
Hf 0.750 0.125 0.875
Hf 0.750 0.625 0.375
Hf 0.375 0.125 0.750
Hf 0.625 0.875 0.250
Hf 0.500 0.500 0.500
Hf 0.500 0.000 0.000
Hf 0.000 0.000 0.500
Hf 0.250 0.375 0.625
Hf 0.250 0.875 0.125
Hf 0.000 0.500 0.500
Hf 0.875 0.250 0.625
Hf 0.625 0.750 0.875
Hf 0.875 0.625 0.750
Er 0.725 0.137 0.063
Er 0.337 0.563 0.426
Er 0.937 0.363 0.275
Er 0.563 0.225 0.137
Er 0.588 0.725 0.663
Er 0.937 0.574 0.163
Er 0.337 0.775 0.412
Er 0.074 0.912 0.137
Er 0.574 0.937 0.663
Er 0.725 0.588 0.163
Er 0.775 0.437 0.363
Er 0.837 0.926 0.063
Er 0.137 0.725 0.563
Er 0.363 0.426 0.088
Er 0.088 0.926 0.363
Er 0.412 0.137 0.574
Er 0.088 0.163 0.225
Er 0.437 0.663 0.074
Er 0.837 0.912 0.275
Er 0.137 0.412 0.074
Er 0.363 0.937 0.775
Er 0.574 0.637 0.412
Er 0.926 0.837 0.563
Er 0.775 0.337 0.912
Er 0.426 0.363 0.588
Er 0.074 0.163 0.437
Er 0.225 0.663 0.088
Er 0.163 0.088 0.725
Er 0.637 0.063 0.225
Er 0.863 0.588 0.926
Er 0.563 0.337 0.926
Er 0.588 0.863 0.426
Er 0.912 0.837 0.775
Er 0.912 0.074 0.637
Er 0.863 0.275 0.437
Er 0.163 0.074 0.937
Er 0.637 0.574 0.912
Er 0.426 0.063 0.337
Er 0.275 0.412 0.837
Er 0.225 0.563 0.637
Er 0.926 0.088 0.863
Er 0.663 0.225 0.588
Er 0.437 0.775 0.863
Er 0.063 0.426 0.837
Er 0.412 0.275 0.337
Er 0.063 0.637 0.725
Er 0.663 0.437 0.574
Er 0.275 0.863 0.937

total energy = -4.90 eV/atom
V = 34.10 Å³/atom


This record from the Alexandria database describes TbPm2Sm3Te6 after structural relaxation. The functional is GGA-PBE.

Unit cell a=4.417 b=8.925 c=9.917 alpha=102.77 beta=102.87 gamma=90.00
Element x y z (fractional)
Tb 0.500 0.000 0.000
Pm 0.832 0.665 0.663
Pm 0.168 0.335 0.337
Sm 0.500 0.500 0.000
Sm 0.830 0.167 0.660
Sm 0.170 0.833 0.340
Te 0.336 0.920 0.673
Te 0.665 0.584 0.331
Te 0.664 0.080 0.327
Te 0.999 0.245 0.998
Te 0.001 0.755 0.002
Te 0.335 0.416 0.669

total energy = -5.31 eV/atom
V = 30.94 Å³/atom
ΔE_f (raw) = -133.12 kJ per mole of atoms